Density functional theory data (PBE-GGA) for a relaxed structure of Sr2ZrZn.

Cell: 3.6557 5.6994 12.2815 Å, 90.00 90.00 90.00°
Space group Imm2 (No. 44)
Symmetry-distinct sites (fractional):
1 Sr 0.0000 0.0000 0.0000
2 Sr 0.0000 0.5000 0.2078
3 Zr 0.0000 0.0000 0.4071
4 Zn 0.0000 0.5000 0.7381

## Properties
The total magnetization comes out at 0.0 Bohr magnetons per cell. The calculation puts the calculated formation energy at 21.1 kJ per mole of atoms.